No. 1
The following is a GGA-PBE calculation of an optimized crystal structure of ZnCrHIr2, from Alexandria.

abc: 3.972 3.972 3.742
angles: 90.00 90.00 90.00
Space group P4/mmm (No. 123)
One atom of each set of equivalent atoms:
1 Zn 0.000 0.000 0.000 [1 per cell]
2 Cr 0.500 0.500 0.000 [1 per cell]
3 H 0.500 0.500 0.500 [1 per cell]
4 Ir 0.000 0.500 0.500 [2 per cell]

Computed properties:
- Uncorrected energy: -6.418 eV per atom



No. 2
The following is a GGA-PBE calculation of an optimized crystal structure of ZrCrHIr2, from Alexandria.

abc: 4.075 4.075 3.930
angles: 90.00 90.00 90.00
Space group P4/mmm (No. 123)
One atom of each set of equivalent atoms:
1 Zr 0.000 0.000 0.000 [1 per cell]
2 Cr 0.500 0.500 0.000 [1 per cell]
3 H 0.500 0.500 0.500 [1 per cell]
4 Ir 0.000 0.500 0.500 [2 per cell]

Computed properties:
- Uncorrected energy: -8.200 eV per atom



No. 3
The following is a GGA-PBE calculation of an optimized crystal structure of K2CrH5, from Alexandria.

abc: 5.943 5.943 3.575
angles: 90.00 90.00 90.00
Space group P4/mmm (No. 123)
One atom of each set of equivalent atoms:
1 K 0.000 0.500 0.000 [2 per cell]
2 Cr 0.000 0.000 0.500 [1 per cell]
3 H 0.000 0.000 0.000 [1 per cell]
4 H 0.206 0.206 0.500 [4 per cell]

Computed properties:
- Uncorrected energy: -3.708 eV per atom



No. 4
The following is a GGA-PBE calculation of an optimized crystal structure of KCr2H, from Alexandria.

abc: 8.660 8.660 8.660
angles: 90.00 90.00 90.00
Space group Fd-3m (No. 227, origin choice 2)
One atom of each set of equivalent atoms:
1 K 0.125 0.125 0.125 [8 per cell]
2 Cr 0.000 0.000 0.500 [16 per cell]
3 H 0.125 0.125 0.625 [8 per cell]

Computed properties:
- Uncorrected energy: -5.056 eV per atom



No. 5
The following is a GGA-PBE calculation of an optimized crystal structure of KCrH2, from Alexandria.

abc: 5.743 5.743 7.850
angles: 90.00 90.00 90.00
Space group I-42d (No. 122)
One atom of each set of equivalent atoms:
1 K 0.000 0.000 0.000 [4 per cell]
2 Cr 0.000 0.000 0.500 [4 per cell]
3 H 0.126 0.250 0.625 [8 per cell]

Computed properties:
- Uncorrected energy: -4.161 eV per atom



No. 6
The following is a GGA-PBE calculation of an optimized crystal structure of K2Cr3H10, from Alexandria.

abc: 17.080 5.726 7.343
angles: 90.00 113.81 90.00
Space group C2/m (No. 12)
One atom of each set of equivalent atoms:
1 K 0.113 0.000 0.211 [4 per cell]
2 K 0.209 0.000 0.813 [4 per cell]
3 Cr 0.000 0.253 0.500 [4 per cell]
4 Cr 0.073 0.500 0.958 [4 per cell]
5 Cr 0.176 0.500 0.491 [4 per cell]
6 H 0.000 0.300 0.000 [4 per cell]
7 H 0.025 0.000 0.660 [4 per cell]
8 H 0.027 0.500 0.682 [4 per cell]
9 H 0.106 0.271 0.502 [8 per cell]
10 H 0.132 0.500 0.216 [4 per cell]
11 H 0.141 0.293 0.961 [8 per cell]
12 H 0.225 0.500 0.739 [4 per cell]
13 H 0.250 0.250 0.500 [4 per cell]

Computed properties:
- Uncorrected energy: -4.268 eV per atom



No. 7
The following is a GGA-PBE calculation of an optimized crystal structure of KCrH2, from Alexandria.

abc: 6.245 6.245 6.245
angles: 90.00 90.00 90.00
Space group Fm-3m (No. 225)
One atom of each set of equivalent atoms:
1 K 0.000 0.000 0.000 [4 per cell]
2 Cr 0.000 0.000 0.500 [4 per cell]
3 H 0.250 0.250 0.250 [8 per cell]

Computed properties:
- Uncorrected energy: -3.572 eV per atom



No. 8
The following is a GGA-PBE calculation of an optimized crystal structure of K2CrH6, from Alexandria.

abc: 5.8589 5.8589 8.1486
angles: 90.00 90.00 120.00
Space group P6_3mc (No. 186)
One atom of each set of equivalent atoms:
1 K 0.0000 0.0000 0.0000 [2 per cell]
2 K 0.3333 0.6667 0.2562 [2 per cell]
3 Cr 0.3333 0.6667 0.7005 [2 per cell]
4 H 0.1056 0.5528 0.5548 [6 per cell]
5 H 0.1721 0.3441 0.7456 [6 per cell]

Computed properties:
- Uncorrected energy: -3.545 eV per atom



No. 9
The following is a GGA-PBE calculation of an optimized crystal structure of KCr3H, from Alexandria.

abc: 4.570 4.570 4.570
angles: 90.00 90.00 90.00
Space group Pm-3m (No. 221)
One atom of each set of equivalent atoms:
1 K 0.000 0.000 0.000 [1 per cell]
2 Cr 0.000 0.500 0.500 [3 per cell]
3 H 0.500 0.500 0.500 [1 per cell]

Computed properties:
- Uncorrected energy: -5.387 eV per atom



No. 10
The following is a GGA-PBE calculation of an optimized crystal structure of KCr3H, from Alexandria.

abc: 5.765 5.765 5.765
angles: 90.00 90.00 90.00
Space group Pm-3m (No. 221)
One atom of each set of equivalent atoms:
1 K 0.000 0.000 0.000 [1 per cell]
2 Cr 0.000 0.000 0.500 [3 per cell]
3 H 0.500 0.500 0.500 [1 per cell]

Computed properties:
- Uncorrected energy: -3.920 eV per atom



No. 11
The following is a GGA-PBE calculation of an optimized crystal structure of K4CrH6, from Alexandria.

abc: 7.771 7.771 7.826
angles: 90.00 90.00 90.00
Space group P4/mnc (No. 128)
One atom of each set of equivalent atoms:
1 K 0.208 0.292 0.250 [8 per cell]
2 Cr 0.000 0.000 0.000 [2 per cell]
3 H 0.000 0.000 0.226 [4 per cell]
4 H 0.039 0.775 0.000 [8 per cell]

Computed properties:
- Uncorrected energy: -3.204 eV per atom



No. 12
The following is a GGA-PBE calculation of an optimized crystal structure of KCr2H, from Alexandria.

abc: 7.130 7.130 7.130
angles: 90.00 90.00 90.00
Space group Fm-3m (No. 225)
One atom of each set of equivalent atoms:
1 K 0.000 0.000 0.000 [4 per cell]
2 Cr 0.250 0.250 0.250 [8 per cell]
3 H 0.000 0.000 0.500 [4 per cell]

Computed properties:
- Uncorrected energy: -4.184 eV per atom



Which formula does entry 10 have?
KCr3H